P:
# Tc2AgAu, relaxed, DFT GGA-PBEsol
# Density ... 13.70 g cm⁻³
data_Tc2AgAu
_cell_length_a 9.124
_cell_length_b 2.660
_cell_length_c 5.043
_cell_angle_alpha 90.00
_cell_angle_beta 97.19
_cell_angle_gamma 90.00
_symmetry_space_group_name_H-M 'C 1 m 1'
_symmetry_Int_Tables_number 8
loop_
_symmetry_equiv_pos_as_xyz
'x,y,z'
'x,-y,z'
'x+1/2,y+1/2,z'
'x+1/2,-y+1/2,z'
loop_
_atom_site_label
_atom_site_type_symbol
_atom_site_fract_x
_atom_site_fract_y
_atom_site_fract_z
Tc1 Tc 0.000 0.000 0.000
Tc2 Tc 0.247 0.000 0.805
Ag1 Ag 0.497 0.000 0.518
Au1 Au 0.245 0.500 0.288

=====

Q:
# Tc2AgAu, relaxed, DFT GGA-PBEsol
# Density ... 13.38 g cm⁻³
data_Tc2AgAu
_cell_length_a 2.870
_cell_length_b 4.564
_cell_length_c 9.488
_cell_angle_alpha 90.00
_cell_angle_beta 90.00
_cell_angle_gamma 90.00
_symmetry_space_group_name_H-M 'C m m 2'
_symmetry_Int_Tables_number 35
loop_
_symmetry_equiv_pos_as_xyz
'x,y,z'
'-x,-y,z'
'-x,y,z'
'x,-y,z'
'x+1/2,y+1/2,z'
'-x+1/2,-y+1/2,z'
'-x+1/2,y+1/2,z'
'x+1/2,-y+1/2,z'
loop_
_atom_site_label
_atom_site_type_symbol
_atom_site_fract_x
_atom_site_fract_y
_atom_site_fract_z
Tc1 Tc 0.000 0.000 0.000
Tc2 Tc 0.000 0.500 0.219
Ag1 Ag 0.000 0.000 0.478
Au1 Au 0.000 0.500 0.740

=====

Pick Q: it beats the second-best structure by 85 meV/atom.

=====

P:
# AgTe2Au, relaxed, DFT GGA-PBEsol
# Density ... 9.96 g cm⁻³
data_AgTe2Au
_cell_length_a 6.978
_cell_length_b 4.027
_cell_length_c 7.040
_cell_angle_alpha 90.00
_cell_angle_beta 109.24
_cell_angle_gamma 90.00
_symmetry_space_group_name_H-M 'C 1 2/m 1'
_symmetry_Int_Tables_number 12
loop_
_symmetry_equiv_pos_as_xyz
'x,y,z'
'-x,-y,-z'
'-x,y,-z'
'x,-y,z'
'x+1/2,y+1/2,z'
'-x+1/2,-y+1/2,-z'
'-x+1/2,y+1/2,-z'
'x+1/2,-y+1/2,z'
loop_
_atom_site_label
_atom_site_type_symbol
_atom_site_fract_x
_atom_site_fract_y
_atom_site_fract_z
Ag1 Ag 0.000 0.000 0.000
Te1 Te 0.247 0.500 0.256
Au1 Au 0.000 0.500 0.500

=====

Q:
# AgTe2Au, relaxed, DFT GGA-PBEsol
# Density ... 9.98 g cm⁻³
data_AgTe2Au
_cell_length_a 4.036
_cell_length_b 4.036
_cell_length_c 5.720
_cell_angle_alpha 90.00
_cell_angle_beta 90.00
_cell_angle_gamma 90.00
_symmetry_space_group_name_H-M 'P 4/m m m'
_symmetry_Int_Tables_number 123
_symmetry_space_group_name_Hall '-P 4 2'
loop_
_atom_site_label
_atom_site_type_symbol
_atom_site_fract_x
_atom_site_fract_y
_atom_site_fract_z
Ag1 Ag 0.000 0.000 0.000
Te1 Te 0.000 0.000 0.500
Te2 Te 0.500 0.500 0.000
Au1 Au 0.500 0.500 0.500

=====

Pick Q: it beats the second-best structure by 8 meV/atom.

=====

P:
# AgTe2Au, relaxed, DFT GGA-PBEsol
# Density ... 9.27 g cm⁻³
data_AgTe2Au
_cell_length_a 4.056
_cell_length_b 4.289
_cell_length_c 11.537
_cell_angle_alpha 90.00
_cell_angle_beta 90.00
_cell_angle_gamma 90.00
_symmetry_space_group_name_H-M 'I m m m'
_symmetry_Int_Tables_number 71
_symmetry_space_group_name_Hall '-I 2 2'
loop_
_atom_site_label
_atom_site_type_symbol
_atom_site_fract_x
_atom_site_fract_y
_atom_site_fract_z
Ag1 Ag 0.000 0.000 0.000
Te1 Te 0.000 0.500 0.160
Au1 Au 0.000 0.000 0.500

=====

Q:
# AgTe2Au, relaxed, DFT GGA-PBEsol
# Density ... 9.64 g cm⁻³
data_AgTe2Au
_cell_length_a 5.638
_cell_length_b 5.638
_cell_length_c 6.070
_cell_angle_alpha 90.00
_cell_angle_beta 90.00
_cell_angle_gamma 90.00
_symmetry_space_group_name_H-M 'I 4/m m m'
_symmetry_Int_Tables_number 139
_symmetry_space_group_name_Hall '-I 4 2'
loop_
_atom_site_label
_atom_site_type_symbol
_atom_site_fract_x
_atom_site_fract_y
_atom_site_fract_z
Ag1 Ag 0.000 0.000 0.000
Te1 Te 0.000 0.500 0.000
Au1 Au 0.000 0.000 0.500

=====

Pick P: it beats the second-best structure by 53 meV/atom.

=====

P:
# ZnAgAu, relaxed, DFT GGA-PBEsol
# Density ... 13.04 g cm⁻³
data_ZnAgAu
_cell_length_a 2.937
_cell_length_b 3.446
_cell_length_c 9.312
_cell_angle_alpha 90.00
_cell_angle_beta 90.00
_cell_angle_gamma 90.00
_symmetry_space_group_name_H-M 'I m m 2'
_symmetry_Int_Tables_number 44
loop_
_symmetry_equiv_pos_as_xyz
'x,y,z'
'-x,-y,z'
'-x,y,z'
'x,-y,z'
'x+1/2,y+1/2,z+1/2'
'-x+1/2,-y+1/2,z+1/2'
'-x+1/2,y+1/2,z+1/2'
'x+1/2,-y+1/2,z+1/2'
loop_
_atom_site_label
_atom_site_type_symbol
_atom_site_fract_x
_atom_site_fract_y
_atom_site_fract_z
Zn1 Zn 0.000 0.000 0.000
Ag1 Ag 0.000 0.000 0.660
Au1 Au 0.000 0.000 0.347

=====

Q:
# ZnAgAu, relaxed, DFT GGA-PBEsol
# Density ... 13.07 g cm⁻³
data_ZnAgAu
_cell_length_a 2.938
_cell_length_b 2.938
_cell_length_c 10.899
_cell_angle_alpha 90.00
_cell_angle_beta 90.00
_cell_angle_gamma 90.00
_symmetry_space_group_name_H-M 'I 4 m m'
_symmetry_Int_Tables_number 107
_symmetry_space_group_name_Hall 'I 4 -2'
loop_
_atom_site_label
_atom_site_type_symbol
_atom_site_fract_x
_atom_site_fract_y
_atom_site_fract_z
Zn1 Zn 0.000 0.000 0.000
Ag1 Ag 0.000 0.000 0.660
Au1 Au 0.000 0.000 0.345

=====

R:
# ZnAgAu, relaxed, DFT GGA-PBEsol
# Density ... 12.89 g cm⁻³
data_ZnAgAu
_cell_length_a 2.8902
_cell_length_b 2.8902
_cell_length_c 6.5918
_cell_angle_alpha 90.00
_cell_angle_beta 90.00
_cell_angle_gamma 120.00
_symmetry_space_group_name_H-M 'P 3 m 1'
_symmetry_Int_Tables_number 156
loop_
_symmetry_equiv_pos_as_xyz
'x,y,z'
'-y,x-y,z'
'-x+y,-x,z'
'-y,-x,z'
'-x+y,y,z'
'x,x-y,z'
loop_
_atom_site_label
_atom_site_type_symbol
_atom_site_fract_x
_atom_site_fract_y
_atom_site_fract_z
Zn1 Zn 0.0000 0.0000 0.0000
Ag1 Ag 0.3333 0.6667 0.6799
Au1 Au 0.6667 0.3333 0.3208

=====

Pick P: it beats the second-best structure by 6 meV/atom.

=====

P:
# BaAg5, relaxed, DFT GGA-PBEsol
# Density ... 8.96 g cm⁻³
data_BaAg5
_cell_length_a 7.947
_cell_length_b 7.947
_cell_length_c 7.947
_cell_angle_alpha 90.00
_cell_angle_beta 90.00
_cell_angle_gamma 90.00
_symmetry_space_group_name_H-M 'F -4 3 m'
_symmetry_Int_Tables_number 216
_symmetry_space_group_name_Hall 'F -4 2 3'
loop_
_atom_site_label
_atom_site_type_symbol
_atom_site_fract_x
_atom_site_fract_y
_atom_site_fract_z
Ba1 Ba 0.000 0.000 0.000
Ag1 Ag 0.124 0.124 0.624
Ag2 Ag 0.250 0.250 0.250

=====

Q:
# BaAg5, relaxed, DFT GGA-PBEsol
# Density ... 8.65 g cm⁻³
data_BaAg5
_cell_length_a 5.7421
_cell_length_b 5.7421
_cell_length_c 4.5486
_cell_angle_alpha 90.00
_cell_angle_beta 90.00
_cell_angle_gamma 120.00
_symmetry_space_group_name_H-M 'P 6/m m m'
_symmetry_Int_Tables_number 191
_symmetry_space_group_name_Hall '-P 6 2'
loop_
_atom_site_label
_atom_site_type_symbol
_atom_site_fract_x
_atom_site_fract_y
_atom_site_fract_z
Ba1 Ba 0.0000 0.0000 0.0000
Ag1 Ag 0.0000 0.5000 0.5000
Ag2 Ag 0.3333 0.6667 0.0000

=====

R:
# BaAg5, relaxed, DFT GGA-PBEsol
# Density ... 8.18 g cm⁻³
data_BaAg5
_cell_length_a 8.015
_cell_length_b 4.655
_cell_length_c 7.364
_cell_angle_alpha 90.00
_cell_angle_beta 90.18
_cell_angle_gamma 90.00
_symmetry_space_group_name_H-M 'C 1 2/m 1'
_symmetry_Int_Tables_number 12
loop_
_symmetry_equiv_pos_as_xyz
'x,y,z'
'-x,-y,-z'
'-x,y,-z'
'x,-y,z'
'x+1/2,y+1/2,z'
'-x+1/2,-y+1/2,-z'
'-x+1/2,y+1/2,-z'
'x+1/2,-y+1/2,z'
loop_
_atom_site_label
_atom_site_type_symbol
_atom_site_fract_x
_atom_site_fract_y
_atom_site_fract_z
Ba1 Ba 0.000 0.000 0.000
Ag1 Ag 0.000 0.000 0.500
Ag2 Ag 0.166 0.500 0.685
Ag3 Ag 0.168 0.500 0.314

=====

Pick Q: it beats the second-best structure by 64 meV/atom.

=====

P:
# Ba3Ag, relaxed, DFT GGA-PBEsol
# Density ... 4.87 g cm⁻³
data_Ba3Ag
_cell_length_a 4.191
_cell_length_b 6.346
_cell_length_c 13.320
_cell_angle_alpha 90.00
_cell_angle_beta 90.00
_cell_angle_gamma 90.00
_symmetry_space_group_name_H-M 'I m m m'
_symmetry_Int_Tables_number 71
_symmetry_space_group_name_Hall '-I 2 2'
loop_
_atom_site_label
_atom_site_type_symbol
_atom_site_fract_x
_atom_site_fract_y
_atom_site_fract_z
Ba1 Ba 0.000 0.000 0.000
Ba2 Ba 0.000 0.500 0.191
Ag1 Ag 0.000 0.000 0.500

=====

Q:
# Ba3Ag, relaxed, DFT GGA-PBEsol
# Density ... 4.79 g cm⁻³
data_Ba3Ag
_cell_length_a 4.108
_cell_length_b 4.108
_cell_length_c 10.666
_cell_angle_alpha 90.00
_cell_angle_beta 90.00
_cell_angle_gamma 90.00
_symmetry_space_group_name_H-M 'P 4/m m m'
_symmetry_Int_Tables_number 123
_symmetry_space_group_name_Hall '-P 4 2'
loop_
_atom_site_label
_atom_site_type_symbol
_atom_site_fract_x
_atom_site_fract_y
_atom_site_fract_z
Ba1 Ba 0.000 0.000 0.000
Ba2 Ba 0.500 0.500 0.322
Ag1 Ag 0.000 0.000 0.500

=====

R:
# Ba3Ag, relaxed, DFT GGA-PBEsol
# Density ... 4.18 g cm⁻³
data_Ba3Ag
_cell_length_a 4.6234
_cell_length_b 4.6234
_cell_length_c 33.4406
_cell_angle_alpha 90.00
_cell_angle_beta 90.00
_cell_angle_gamma 120.00
_symmetry_space_group_name_H-M 'R -3 m'
_symmetry_Int_Tables_number 166
_symmetry_space_group_name_Hall '-R 3 2"'
loop_
_atom_site_label
_atom_site_type_symbol
_atom_site_fract_x
_atom_site_fract_y
_atom_site_fract_z
Ba1 Ba 0.0000 0.0000 0.0000
Ba2 Ba 0.0000 0.0000 0.2227
Ag1 Ag 0.0000 0.0000 0.5000

=====

Pick Q: it beats the second-best structure by 42 meV/atom.

=====

P:
# Ba3Ag, relaxed, DFT GGA-PBEsol
# Density ... 4.55 g cm⁻³
data_Ba3Ag
_cell_length_a 11.233
_cell_length_b 14.713
_cell_length_c 4.590
_cell_angle_alpha 90.00
_cell_angle_beta 90.00
_cell_angle_gamma 90.00
_symmetry_space_group_name_H-M 'C m c m'
_symmetry_Int_Tables_number 63
_symmetry_space_group_name_Hall '-C 2c 2'
loop_
_atom_site_label
_atom_site_type_symbol
_atom_site_fract_x
_atom_site_fract_y
_atom_site_fract_z
Ba1 Ba 0.000 0.117 0.250
Ba2 Ba 0.186 0.369 0.250
Ag1 Ag 0.000 0.275 0.750

=====

Q:
# Ba3Ag, relaxed, DFT GGA-PBEsol
# Density ... 4.39 g cm⁻³
data_Ba3Ag
_cell_length_a 4.4358
_cell_length_b 4.4358
_cell_length_c 11.5367
_cell_angle_alpha 90.00
_cell_angle_beta 90.00
_cell_angle_gamma 120.00
_symmetry_space_group_name_H-M 'P -6 m 2'
_symmetry_Int_Tables_number 187
_symmetry_space_group_name_Hall 'P -6 2'
loop_
_atom_site_label
_atom_site_type_symbol
_atom_site_fract_x
_atom_site_fract_y
_atom_site_fract_z
Ba1 Ba 0.0000 0.0000 0.0000
Ba2 Ba 0.3333 0.6667 0.3176
Ag1 Ag 0.0000 0.0000 0.5000

=====

R:
# Ba3Ag, relaxed, DFT GGA-PBEsol
# Density ... 4.56 g cm⁻³
data_Ba3Ag
_cell_length_a 4.380
_cell_length_b 7.859
_cell_length_c 11.004
_cell_angle_alpha 90.00
_cell_angle_beta 90.00
_cell_angle_gamma 90.00
_symmetry_space_group_name_H-M 'P m m n'
_symmetry_Int_Tables_number 59
loop_
_symmetry_equiv_pos_as_xyz
'x,y,z'
'-x,-y,-z'
'-x+1/2,-y+1/2,z'
'x+1/2,y+1/2,-z'
'x+1/2,-y,-z'
'-x+1/2,y,z'
'-x,y+1/2,-z'
'x,-y+1/2,z'
loop_
_atom_site_label
_atom_site_type_symbol
_atom_site_fract_x
_atom_site_fract_y
_atom_site_fract_z
Ba1 Ba 0.250 0.004 0.164
Ba2 Ba 0.250 0.250 0.536
Ag1 Ag 0.250 0.750 0.686

=====

Pick P: it beats the second-best structure by 34 meV/atom.

=====

P:
# Ba2AgBr, relaxed, DFT GGA-PBEsol
# Density ... 5.14 g cm⁻³
data_Ba2AgBr
_cell_length_a 4.703
_cell_length_b 4.703
_cell_length_c 6.761
_cell_angle_alpha 90.00
_cell_angle_beta 90.00
_cell_angle_gamma 90.00
_symmetry_space_group_name_H-M 'P 4/m m m'
_symmetry_Int_Tables_number 123
_symmetry_space_group_name_Hall '-P 4 2'
loop_
_atom_site_label
_atom_site_type_symbol
_atom_site_fract_x
_atom_site_fract_y
_atom_site_fract_z
Ba1 Ba 0.000 0.000 0.000
Ba2 Ba 0.500 0.500 0.500
Ag1 Ag 0.000 0.000 0.500
Br1 Br 0.500 0.500 0.000

=====

Q:
# Ba2AgBr, relaxed, DFT GGA-PBEsol
# Density ... 5.00 g cm⁻³
data_Ba2AgBr
_cell_length_a 4.5952
_cell_length_b 4.5952
_cell_length_c 25.1907
_cell_angle_alpha 90.00
_cell_angle_beta 90.00
_cell_angle_gamma 120.00
_symmetry_space_group_name_H-M 'R -3 m'
_symmetry_Int_Tables_number 166
_symmetry_space_group_name_Hall '-R 3 2"'
loop_
_atom_site_label
_atom_site_type_symbol
_atom_site_fract_x
_atom_site_fract_y
_atom_site_fract_z
Ba1 Ba 0.0000 0.0000 0.2430
Ag1 Ag 0.0000 0.0000 0.5000
Br1 Br 0.0000 0.0000 0.0000

=====

Pick Q: it beats the second-best structure by 27 meV/atom.